RbPa2S3 | PBE | optimized geometry

a b c (Å): 12.246 7.068 7.438
angles (deg): 90.00 90.00 90.00
Space group Cmcm (No. 63)
Inequivalent atoms, fractional coordinates:
Rb1 0.000 0.001 0.250 x4
Pa1 0.167 0.500 0.000 x8
S1 0.000 0.500 0.250 x4
S2 0.250 0.250 0.250 x8

## Properties
* energy relative to the elements, uncorrected: -1.31 eV per atom
* calculated volume: 26.83 A^3/atom
* E: -6.698 eV/atom
* calculated density: 6.64 g cm⁻³
* spin magnetization: 12.608 Bohr magnetons per cell

Cs2HgBi2Sb2 | PBE | optimized geometry

a b c (Å): 13.845 5.608 8.260
angles (deg): 90.00 107.94 90.00
Space group C2/m (No. 12)
Inequivalent atoms, fractional coordinates:
Cs1 0.123 0.000 0.272 x4
Hg1 0.000 0.500 0.500 x2
Bi1 0.131 0.500 0.908 x4
Sb1 0.177 0.000 0.789 x4

## Properties
* energy relative to the elements, uncorrected: -0.25 eV per atom
* calculated volume: 43.58 A^3/atom
* E: -2.824 eV/atom
* calculated density: 6.14 g cm⁻³
* spin magnetization: 0.000 Bohr magnetons per cell

CoRh2S6 | PBE | optimized geometry

a b c (Å): 5.313 5.313 10.929
angles (deg): 90.00 90.00 90.00
Space group P4_2/mnm (No. 136)
Inequivalent atoms, fractional coordinates:
Co1 0.000 0.000 0.000 x2
Rh1 0.000 0.000 0.334 x4
S1 0.188 0.188 0.162 x8
S2 0.202 0.202 0.500 x4

## Properties
* energy relative to the elements, uncorrected: -0.14 eV per atom
* calculated volume: 17.14 A^3/atom
* E: -5.316 eV/atom
* calculated density: 4.92 g cm⁻³
* spin magnetization: 4.047 Bohr magnetons per cell

LiAgAu14 | PBE | optimized geometry

a b c (Å): 5.888 5.888 8.218
angles (deg): 90.00 90.00 90.00
Space group P4/mmm (No. 123)
Inequivalent atoms, fractional coordinates:
Li1 0.000 0.000 0.000 x1
Ag1 0.500 0.500 0.000 x1
Au1 0.000 0.000 0.500 x1
Au2 0.000 0.500 0.000 x2
Au3 0.000 0.500 0.500 x2
Au4 0.247 0.247 0.246 x8
Au5 0.500 0.500 0.500 x1

## Properties
* calculated volume: 17.81 A^3/atom
* E: -3.251 eV/atom
* energy relative to the elements: -0.0854 eV/atom
* calculated density: 16.74 g cm⁻³
* spin magnetization: 0.000 Bohr magnetons per cell

CrAgSb2 | PBE | optimized geometry

a b c (Å): 7.050 7.050 7.050
angles (deg): 90.00 90.00 90.00
Space group Fm-3m (No. 225)
Inequivalent atoms, fractional coordinates:
Cr1 0.000 0.000 0.000 x4
Ag1 0.000 0.000 0.500 x4
Sb1 0.250 0.250 0.250 x8

## Properties
* energy relative to the elements, uncorrected: 0.31 eV per atom
* calculated volume: 21.90 A^3/atom
* E: -4.866 eV/atom
* calculated density: 7.65 g cm⁻³
* energy above the most stable polymorph in this dataset: 108 meV per atom
* spin magnetization: 14.898 Bohr magnetons per cell

RbPI6 | PBE | optimized geometry

a b c (Å): 6.656 8.288 8.337
angles (deg): 67.03 67.40 67.14
Space group P-1 (No. 2)
Inequivalent atoms, fractional coordinates:
Rb1 0.000 0.000 0.000 x1
P1 0.500 0.500 0.500 x1
I1 0.086 0.689 0.697 x2
I2 0.286 0.382 0.375 x2
I3 0.494 0.810 0.203 x2

## Properties
* energy relative to the elements, uncorrected: -0.27 eV per atom
* calculated volume: 46.90 A^3/atom
* E: -2.230 eV/atom
* calculated density: 3.89 g cm⁻³
* spin magnetization: 0.000 Bohr magnetons per cell

LaYI2 | PBE | optimized geometry

a b c (Å): 3.8889 3.8889 32.8593
angles (deg): 90.00 90.00 120.00
Space group R-3m (No. 166, hexagonal axes)
Inequivalent atoms, fractional coordinates:
La1 0.0000 0.0000 0.0000 x3
Y1 0.0000 0.0000 0.5000 x3
I1 0.0000 0.0000 0.1004 x6

## Properties
* energy relative to the elements, uncorrected: -0.72 eV per atom
* calculated volume: 35.86 A^3/atom
* E: -4.346 eV/atom
* calculated density: 5.57 g cm⁻³
* energy above the most stable polymorph in this dataset: 37 meV per atom
* spin magnetization: 2.141 Bohr magnetons per cell

Ho3AlH | PBE | optimized geometry

a b c (Å): 4.742 4.742 4.742
angles (deg): 90.00 90.00 90.00
Space group Pm-3m (No. 221)
Inequivalent atoms, fractional coordinates:
Ho1 0.000 0.000 0.500 x3
Al1 0.500 0.500 0.500 x1
H1 0.000 0.000 0.000 x1

## Properties
* calculated volume: 21.32 A^3/atom
* E: -4.451 eV/atom
* calculated density: 8.14 g cm⁻³
* energy above the most stable polymorph in this dataset: 10 meV per atom
* spin magnetization: 0.758 Bohr magnetons per cell

Y3Zn6Ge5 | PBE | optimized geometry

a b c (Å): 4.099 12.324 10.379
angles (deg): 90.00 90.00 90.00
Space group Pmmn (No. 59, origin choice 2)
Inequivalent atoms, fractional coordinates:
Y1 0.250 0.081 0.249 x4
Y2 0.250 0.750 0.242 x2
Zn1 0.250 0.084 0.881 x4
Zn2 0.250 0.250 0.030 x2
Zn3 0.250 0.250 0.489 x2
Zn4 0.250 0.594 0.507 x4
Ge1 0.250 0.084 0.643 x4
Ge2 0.250 0.612 0.975 x4
Ge3 0.250 0.750 0.686 x2

## Properties
* calculated volume: 18.72 A^3/atom
* E: -3.993 eV/atom
* energy relative to the elements: -0.4125 eV/atom
* calculated density: 6.48 g cm⁻³
* spin magnetization: 0.000 Bohr magnetons per cell

Y4Pd5Pt | PBE | optimized geometry

a b c (Å): 16.502 4.493 5.680
angles (deg): 90.00 99.40 90.00
Space group C2/m (No. 12)
Inequivalent atoms, fractional coordinates:
Y1 0.107 0.000 0.302 x4
Y2 0.171 0.500 0.823 x4
Pd1 0.000 0.500 0.000 x2
Pd2 0.064 0.000 0.781 x4
Pd3 0.234 0.500 0.342 x4
Pt1 0.000 0.500 0.500 x2

## Properties
* calculated volume: 20.77 A^3/atom
* E: -6.721 eV/atom
* energy relative to the elements: -0.9349 eV/atom
* calculated density: 8.66 g cm⁻³
* spin magnetization: 0.000 Bohr magnetons per cell